Material: LuAlCoNi
Method: DFT, GGA-PBE
State: relaxed

abc: 6.174 6.174 6.174
angles: 90.00 90.00 90.00
Space group F-43m (No. 216)
Symmetry-distinct sites (fractional):
1 Lu 0.000 0.000 0.000
2 Al 0.000 0.000 0.500
3 Co 0.250 0.250 0.750
4 Ni 0.250 0.250 0.250

Summary:
Calculated volume, A^3/atom: 14.709
E, eV per cell: -91.72

Material: Er6AgPd
Method: DFT, GGA-PBE
State: relaxed

abc: 5.067 5.067 16.540
angles: 90.00 90.00 90.00
Space group I4/mmm (No. 139)
Symmetry-distinct sites (fractional):
1 Er 0.000 0.000 0.250
2 Er 0.000 0.500 0.103
3 Ag 0.000 0.000 0.000
4 Pd 0.000 0.000 0.500

Summary:
Calculated volume, A^3/atom: 26.536
E, eV per cell: -75.19